# Dy2Zn3Hg

A relaxed Dy2Zn3Hg crystal (PBE-GGA, Alexandria).

Cell: 3.769 4.380 16.094 Å, 90.00 90.00 90.00°
Positions (direct):
Dy 0.000 0.000 0.000
Dy 0.000 0.500 0.266
Dy 0.500 0.000 0.766
Dy 0.500 0.500 0.500
Zn 0.000 0.000 0.429
Zn 0.000 0.500 0.682
Zn 0.000 0.500 0.834
Zn 0.500 0.000 0.182
Zn 0.500 0.000 0.334
Zn 0.500 0.500 0.929
Hg 0.000 0.000 0.593
Hg 0.500 0.500 0.093

Summary:
ρ ... 9022 kg/m3
VASP energy ... -2.52 eV/atom
Energy above the lowest structure with this stoichiometry ... 96.5 meV/atom
Size of the total moment ... 0.00 μB per cell
Formation energy from the elements ... -0.296 eV/atom
Volume ... 22.1 Å³/atom